(1)
Below is crystalline Ac2ThNi9 at its relaxed geometry, with properties calculated at the PBE level.

Cell: 5.071 5.071 9.102 Å, 73.82 73.82 60.00°
Atoms (fractional coordinates):
Ac 0.864 0.864 0.408
Ac 0.136 0.136 0.592
Th 0.000 0.000 0.000
Ni 0.667 0.667 0.998
Ni 0.333 0.333 0.002
Ni 0.500 0.500 0.500
Ni 0.423 0.423 0.233
Ni 0.921 0.423 0.233
Ni 0.423 0.921 0.233
Ni 0.577 0.577 0.767
Ni 0.577 0.079 0.767
Ni 0.079 0.577 0.767

Values from the calculation:
Its energy of formation is -6.34 kcal/mol of atoms. Its density of states at the Fermi level is 14.38 states/eV per cell. The calculation puts the total DFT energy (no corrections) at -5.91 eV per atom. The total magnetic moment is 0.000 μB/atom.


(2)
Below is crystalline HoEr8In6 at its relaxed geometry, with properties calculated at the PBE level.

Cell: 8.960 8.960 8.271 Å, 57.20 57.20 60.00°
Atoms (fractional coordinates):
Ho 0.000 0.000 0.000
Er 0.554 0.221 0.338
Er 0.779 0.113 0.662
Er 0.113 0.446 0.662
Er 0.667 0.667 0.000
Er 0.333 0.333 0.000
Er 0.887 0.554 0.338
Er 0.221 0.887 0.338
Er 0.446 0.779 0.662
In 0.394 0.060 0.819
In 0.940 0.274 0.181
In 0.274 0.606 0.181
In 0.726 0.394 0.819
In 0.060 0.726 0.819
In 0.606 0.940 0.181

Values from the calculation:
Its energy of formation is -4.56 kcal/mol of atoms. Its density of states at the Fermi level is 20.09 states/eV per cell. The calculation puts the total DFT energy (no corrections) at -4.03 eV per atom. The total magnetic moment is 0.000 μB/atom.


(3)
Below is crystalline KCd2GeOs at its relaxed geometry, with properties calculated at the PBE level.

Cell: 5.332 5.332 4.741 Å, 90.00 90.00 90.00°
Atoms (fractional coordinates):
Ge 0.000 0.000 0.500
Os 0.000 0.000 0.000
K 0.500 0.500 0.500
Cd 0.000 0.500 0.000
Cd 0.500 0.000 0.000

Values from the calculation:
Its energy of formation is 1.32 kcal/mol of atoms. Its density of states at the Fermi level is 1.74 states/eV per cell. The calculation puts the total DFT energy (no corrections) at -3.70 eV per atom. The total magnetic moment is 0.000 μB/atom.


(4)
Below is crystalline LiCoAu2 at its relaxed geometry, with properties calculated at the PBE level.

Cell: 3.300 3.300 5.621 Å, 90.00 90.00 90.00°
Atoms (fractional coordinates):
Au 0.000 0.000 0.968
Au 0.500 0.500 0.284
Co 0.000 0.000 0.493
Li 0.500 0.500 0.755

Values from the calculation:
Its energy of formation is 0.78 kcal/mol of atoms. Its density of states at the Fermi level is 3.81 states/eV per cell. The calculation puts the total DFT energy (no corrections) at -3.86 eV per atom. The total magnetic moment is 0.428 μB/atom.


(5)
Below is crystalline MgZrBi at its relaxed geometry, with properties calculated at the PBE level.

Cell: 3.198 5.156 5.156 Å, 120.00 90.00 90.00°
Atoms (fractional coordinates):
Mg 0.455 0.333 0.667
Bi 0.562 0.667 0.333
Zr 0.983 0.000 0.000

Values from the calculation:
Its energy of formation is 1.57 kcal/mol of atoms. Its density of states at the Fermi level is 3.19 states/eV per cell. As for the energy above the most stable polymorph in this dataset: 123.6 kJ/mol of formula units. The calculation puts the total DFT energy (no corrections) at -4.61 eV per atom. The total magnetic moment is 0.194 μB/atom.


(6)
Below is crystalline LiLaTmIn at its relaxed geometry, with properties calculated at the PBE level.

Cell: 5.389 5.389 5.389 Å, 60.00 60.00 60.00°
Atoms (fractional coordinates):
Tm 0.750 0.750 0.750
In 0.500 0.500 0.500
Li 0.000 0.000 0.000
La 0.250 0.250 0.250

Values from the calculation:
Its energy of formation is -5.79 kcal/mol of atoms. Its density of states at the Fermi level is 3.88 states/eV per cell. The calculation puts the total DFT energy (no corrections) at -3.76 eV per atom. The total magnetic moment is 0.000 μB/atom.


(7)
Below is crystalline LaYHo4 at its relaxed geometry, with properties calculated at the PBE level.

Cell: 3.574 6.166 17.510 Å, 90.01 90.00 90.00°
Atoms (fractional coordinates):
La 0.500 0.500 0.500
La 0.000 0.000 0.000
Y 0.000 0.000 0.500
Y 0.500 0.500 0.000
Ho 0.500 0.166 0.332
Ho 0.000 0.334 0.168
Ho 0.500 0.834 0.668
Ho 0.000 0.666 0.832
Ho 0.999 0.666 0.330
Ho 0.499 0.834 0.170
Ho 0.001 0.334 0.670
Ho 0.501 0.166 0.830

Values from the calculation:
Its energy of formation is 0.56 kcal/mol of atoms. Its density of states at the Fermi level is 17.13 states/eV per cell. As for the energy above the most stable polymorph in this dataset: 0.0 kJ/mol of formula units. The calculation puts the total DFT energy (no corrections) at -4.93 eV per atom. The total magnetic moment is 0.000 μB/atom.


(8)
Below is crystalline InCo2AuSe at its relaxed geometry, with properties calculated at the PBE level.

Cell: 4.346 5.811 4.346 Å, 90.00 90.00 90.00°
Atoms (fractional coordinates):
Co 0.000 0.000 0.500
Co 0.500 0.000 0.000
Au 0.500 0.500 0.500
Se 0.000 0.000 0.000
In 0.000 0.500 0.000

Values from the calculation:
Its density of states at the Fermi level is 3.98 states/eV per cell. The calculation puts the total DFT energy (no corrections) at -4.14 eV per atom. The total magnetic moment is 0.699 μB/atom.


(9)
Below is crystalline LiCaNb2N at its relaxed geometry, with properties calculated at the PBE level.

Cell: 4.858 3.730 4.858 Å, 90.00 90.00 90.00°
Atoms (fractional coordinates):
Nb 0.000 0.000 0.500
Nb 0.500 0.000 0.000
Li 0.000 0.500 0.000
Ca 0.000 0.000 0.000
N 0.500 0.500 0.500

Values from the calculation:
Its density of states at the Fermi level is 6.52 states/eV per cell. The calculation puts the total DFT energy (no corrections) at -3.68 eV per atom. The total magnetic moment is 0.000 μB/atom.


(10)
Below is crystalline Sm4SnPbC at its relaxed geometry, with properties calculated at the PBE level.

Cell: 6.992 6.987 8.921 Å, 90.00 113.07 90.00°
Atoms (fractional coordinates):
Sm 0.911 0.250 0.823
Sm 0.410 0.750 0.819
Sm 0.089 0.750 0.177
Sm 0.590 0.250 0.181
Sm 0.500 0.500 0.500
Sm 0.000 0.000 0.500
Sm 0.500 0.000 0.500
Sm 0.000 0.500 0.500
Sn 0.111 0.250 0.222
Sn 0.889 0.750 0.778
Pb 0.609 0.750 0.217
Pb 0.391 0.250 0.783
C 0.250 0.750 0.500
C 0.750 0.250 0.500

Values from the calculation:
Its energy of formation is -12.21 kcal/mol of atoms. Its density of states at the Fermi level is 1.46 states/eV per cell. The calculation puts the total DFT energy (no corrections) at -5.65 eV per atom. The total magnetic moment is 0.000 μB/atom.


(11)
Below is crystalline NaPd2Cl2 at its relaxed geometry, with properties calculated at the PBE level.

Cell: 7.609 7.609 3.598 Å, 90.00 90.00 90.00°
Atoms (fractional coordinates):
Na 0.000 0.000 0.000
Na 0.500 0.500 0.000
Pd 0.121 0.621 0.500
Pd 0.621 0.879 0.500
Pd 0.879 0.379 0.500
Pd 0.379 0.121 0.500
Cl 0.280 0.780 0.000
Cl 0.780 0.720 0.000
Cl 0.720 0.220 0.000
Cl 0.220 0.280 0.000

Values from the calculation:
Its density of states at the Fermi level is 4.04 states/eV per cell. As for the energy above the most stable polymorph in this dataset: 71.9 kJ/mol of formula units. The calculation puts the total DFT energy (no corrections) at -3.35 eV per atom. The total magnetic moment is 0.183 μB/atom.


(12)
Below is crystalline RbPb2C2 at its relaxed geometry, with properties calculated at the PBE level.

Cell: 4.612 4.612 7.288 Å, 71.56 71.56 90.00°
Atoms (fractional coordinates):
Pb 0.750 0.250 0.500
Pb 0.250 0.750 0.500
C 0.320 0.320 0.360
C 0.680 0.680 0.640
Rb 0.000 0.000 0.000

Values from the calculation:
Its energy of formation is 34.15 kcal/mol of atoms. Its density of states at the Fermi level is 2.12 states/eV per cell. As for the energy above the most stable polymorph in this dataset: 338.9 kJ/mol of formula units. The calculation puts the total DFT energy (no corrections) at -3.89 eV per atom. The total magnetic moment is 0.000 μB/atom.